The following is a PBEsol calculation of a geometry-optimized Rb2SeF structure, from Alexandria.

Formation energy from raw total energies, eV per atom: -1.473
Total DFT energy (no corrections), eV/atom: -3.430
Mass density, g/cm3: 3.4
V, A^3/atom: 33.27

Cell lengths 7.0319, 7.0319, 7.0319 Å; angles 104.52, 112.00, 112.00 degrees
Closest atoms and distances in Å follow each position.
Fractional coordinates of all 8 atoms:
Rb1 0.0796 0.2046 0.6250  2 F 2.61
F1 0.5000 0.2500 0.7500  4 Rb 2.61
Rb2 0.4204 0.8750 0.7954  2 F 2.61
Se1 0.0000 0.0000 0.0000  4 Rb 3.43
Se2 0.5000 0.7500 0.2500  4 Rb 3.43
F2 0.0000 0.5000 0.5000  4 Rb 2.61
Rb3 0.5796 0.3750 0.4546  2 F 2.61
Rb4 0.9204 0.5454 0.1250  2 F 2.61

The following is a PBEsol calculation of a geometry-optimized RbSiF2 structure, from Alexandria.

Formation energy from raw total energies, eV per atom: -1.071
Total DFT energy (no corrections), eV/atom: -3.728
Mass density, g/cm3: 3.7
V, A^3/atom: 17.03

Cell lengths 4.5838, 4.5838, 4.5838 Å; angles 60.00, 60.00, 60.00 degrees
Closest atoms and distances in Å follow each position.
Fractional coordinates of all 4 atoms:
Rb1 0.5000 0.5000 0.5000  8 F 2.81
F1 0.7500 0.7500 0.7500  4 Rb 2.81, 4 Si 2.81
F2 0.2500 0.2500 0.2500  4 Rb 2.81, 4 Si 2.81
Si1 0.0000 0.0000 0.0000  8 F 2.81

The following is a PBEsol calculation of a geometry-optimized Rb3SiF7 structure, from Alexandria.

Formation energy from raw total energies, eV per atom: -3.101
Total DFT energy (no corrections), eV/atom: -5.129
Mass density, g/cm3: 3.9
V, A^3/atom: 16.33

Cell lengths 5.7800, 7.8850, 7.8850 Å; angles 90.00, 90.00, 90.00 degrees
Closest atoms and distances in Å follow each position.
Fractional coordinates of all 22 atoms:
F1 0.0000 0.3471 0.8471  1 Si 1.71
F2 0.2106 0.3924 0.1076  1 Si 1.71
Si1 0.0000 0.0000 0.5000  6 F 1.71
F3 0.5000 0.5000 0.5000  6 Rb 2.86-2.89
Rb1 0.5000 0.1932 0.3068  10 F 2.78-2.98
F4 0.0000 0.6529 0.1529  1 Si 1.71
Rb2 0.0000 0.0000 0.0000  6 F 2.89-2.99
F5 0.7894 0.6076 0.8924  1 Si 1.71
F6 0.5000 0.0000 0.0000  6 Rb 2.86-2.89
F7 0.2106 0.6076 0.8924  1 Si 1.71
F8 0.2106 0.8924 0.3924  1 Si 1.71
F9 0.0000 0.1529 0.3471  1 Si 1.71
F10 0.7894 0.1076 0.6076  1 Si 1.71
F11 0.2106 0.1076 0.6076  1 Si 1.71
F12 0.0000 0.8471 0.6529  1 Si 1.71
Si2 0.0000 0.5000 0.0000  6 F 1.71
Rb3 0.5000 0.3068 0.8068  10 F 2.78-2.98
F13 0.7894 0.8924 0.3924  1 Si 1.71
Rb4 0.5000 0.8068 0.6932  10 F 2.78-2.98
Rb5 0.5000 0.6932 0.1932  10 F 2.78-2.98
F14 0.7894 0.3924 0.1076  1 Si 1.71
Rb6 0.0000 0.5000 0.5000  6 F 2.89-2.99

The following is a PBEsol calculation of a geometry-optimized RbSi3F structure, from Alexandria.

Formation energy from raw total energies, eV per atom: 2.127
Total DFT energy (no corrections), eV/atom: -1.911
Mass density, g/cm3: 1.9
V, A^3/atom: 33.37

Cell lengths 5.5050, 5.5050, 5.5050 Å; angles 90.00, 90.00, 90.00 degrees
Closest atoms and distances in Å follow each position.
Fractional coordinates of all 5 atoms:
Rb1 0.0000 0.0000 0.0000  6 Si 2.75
F1 0.5000 0.5000 0.5000  12 Si 3.89
Si1 0.0000 0.0000 0.5000  2 Rb 2.75
Si2 0.5000 0.0000 0.0000  2 Rb 2.75
Si3 0.0000 0.5000 0.0000  2 Rb 2.75

The following is a PBEsol calculation of a geometry-optimized RbTaF3 structure, from Alexandria.

Formation energy from raw total energies, eV per atom: -0.157
Total DFT energy (no corrections), eV/atom: -4.029
Mass density, g/cm3: 5.0
V, A^3/atom: 21.51

Cell lengths 4.7558, 4.7558, 4.7558 Å; angles 90.00, 90.00, 90.00 degrees
Closest atoms and distances in Å follow each position.
Fractional coordinates of all 5 atoms:
F1 0.0000 0.0000 0.5000  2 Rb 2.38
F2 0.5000 0.0000 0.0000  2 Rb 2.38
Rb1 0.0000 0.0000 0.0000  6 F 2.38
Ta1 0.5000 0.5000 0.5000  12 F 3.36
F3 0.0000 0.5000 0.0000  2 Rb 2.38

The following is a PBEsol calculation of a geometry-optimized RbTa2F structure, from Alexandria.

Formation energy from raw total energies, eV per atom: 1.923
Total DFT energy (no corrections), eV/atom: -5.091
Mass density, g/cm3: 10.5
V, A^3/atom: 18.43

Cell lengths 4.7064, 4.7064, 4.7064 Å; angles 60.00, 60.00, 60.00 degrees
Closest atoms and distances in Å follow each position.
Fractional coordinates of all 4 atoms:
Ta1 0.2500 0.2500 0.2500  4 F 2.88, 4 Rb 2.88
Rb1 0.5000 0.5000 0.5000  8 Ta 2.88
Ta2 0.7500 0.7500 0.7500  4 F 2.88, 4 Rb 2.88
F1 0.0000 0.0000 0.0000  8 Ta 2.88

The following is a PBEsol calculation of a geometry-optimized Rb2TaF7 structure, from Alexandria.

Formation energy from raw total energies, eV per atom: -3.220
Total DFT energy (no corrections), eV/atom: -6.030
Mass density, g/cm3: 4.5
V, A^3/atom: 18.06

Cell lengths 5.9394, 5.8719, 10.3574 Å; angles 90.00, 90.00, 90.00 degrees
Closest atoms and distances in Å follow each position.
Fractional coordinates of all 20 atoms:
Rb1 0.5000 0.0000 0.6400  6 F 2.80-2.81
F1 0.2149 0.2576 0.7979  1 Ta 1.96
F2 0.2851 0.7576 0.2021  1 Ta 1.96
F3 0.7149 0.2424 0.2021  1 Ta 1.96
F4 0.2996 0.0000 0.3939  1 Ta 1.96
F5 0.2149 0.7424 0.7979  1 Ta 1.96
F6 0.7996 0.5000 0.6061  1 Ta 1.96
Ta1 0.0000 0.5000 0.7567  7 F 1.96-2.01
F7 0.0000 0.5000 0.9504  1 Ta 2.01
Ta2 0.5000 0.0000 0.2433  7 F 1.96-2.01
F8 0.7149 0.7576 0.2021  1 Ta 1.96
F9 0.2004 0.5000 0.6061  1 Ta 1.96
Rb2 0.0000 0.0000 0.0046  12 F 2.92-3.01
F10 0.2851 0.2424 0.2021  1 Ta 1.96
F11 0.5000 0.0000 0.0496  1 Ta 2.01
F12 0.7851 0.7424 0.7979  1 Ta 1.96
Rb3 0.5000 0.5000 0.9954  12 F 2.92-3.01
F13 0.7851 0.2576 0.7979  1 Ta 1.96
Rb4 0.0000 0.5000 0.3600  6 F 2.80-2.81
F14 0.7004 0.0000 0.3939  1 Ta 1.96

The following is a PBEsol calculation of a geometry-optimized Rb2TbF6 structure, from Alexandria.

Formation energy from raw total energies, eV per atom: -3.088
Total DFT energy (no corrections), eV/atom: -5.158
Mass density, g/cm3: 4.9
V, A^3/atom: 16.80

Cell lengths 6.8144, 6.8144, 7.3271 Å; angles 90.89, 90.89, 117.24 degrees
Closest atoms and distances in Å follow each position.
Fractional coordinates of all 18 atoms:
F1 0.9985 0.3881 0.7715  1 Tb 2.27, 1 F 2.46
F2 0.6119 0.0015 0.7285  1 Tb 2.27, 1 F 2.46
Rb1 0.3222 0.6386 0.5008  9 F 2.79-3.07
F3 0.3017 0.3092 0.2357  1 Tb 2.23, 1 F 2.46
F4 0.1376 0.9304 0.9551  2 Tb 2.25-2.30
F5 0.6983 0.6908 0.7643  1 Tb 2.23, 1 F 2.46
F6 0.8624 0.0696 0.0449  2 Tb 2.25-2.30
Rb2 0.3614 0.6778 0.9992  9 F 2.79-3.07
F7 0.9304 0.1376 0.4551  2 Tb 2.25-2.30
F8 0.0015 0.6119 0.2285  1 Tb 2.27, 1 F 2.46
F9 0.0696 0.8624 0.5449  2 Tb 2.25-2.30
Tb1 0.9602 0.0398 0.7500  8 F 2.23-2.30
Rb3 0.6778 0.3614 0.4992  9 F 2.79-3.07
F10 0.6908 0.6983 0.2643  1 Tb 2.23, 1 F 2.46
F11 0.3881 0.9985 0.2715  1 Tb 2.27, 1 F 2.46
F12 0.3092 0.3017 0.7357  1 Tb 2.23, 1 F 2.46
Rb4 0.6386 0.3222 0.0008  9 F 2.79-3.07
Tb2 0.0398 0.9602 0.2500  8 F 2.23-2.30

The following is a PBEsol calculation of a geometry-optimized RbTcF2 structure, from Alexandria.

Formation energy from raw total energies, eV per atom: -1.234
Total DFT energy (no corrections), eV/atom: -5.270
Mass density, g/cm3: 5.5
V, A^3/atom: 16.76

Cell lengths 3.1798, 3.1798, 7.8743 Å; angles 78.35, 78.35, 60.00 degrees
Closest atoms and distances in Å follow each position.
Fractional coordinates of all 4 atoms:
F1 0.0865 0.0865 0.7406  1 Tc 1.99
Tc1 0.0000 0.0000 0.0000  2 F 1.99
F2 0.9135 0.9135 0.2594  1 Tc 1.99
Rb1 0.5000 0.5000 0.5000  6 F 2.60

The following is a PBEsol calculation of a geometry-optimized RbTiF2 structure, from Alexandria.

Formation energy from raw total energies, eV per atom: -1.288
Total DFT energy (no corrections), eV/atom: -4.588
Mass density, g/cm3: 4.5
V, A^3/atom: 15.95

Cell lengths 4.4855, 4.4855, 4.4855 Å; angles 60.00, 60.00, 60.00 degrees
Closest atoms and distances in Å follow each position.
Fractional coordinates of all 4 atoms:
F1 0.2500 0.2500 0.2500  4 Rb 2.75, 4 Ti 2.75
Ti1 0.0000 0.0000 0.0000  8 F 2.75
F2 0.7500 0.7500 0.7500  4 Rb 2.75, 4 Ti 2.75
Rb1 0.5000 0.5000 0.5000  8 F 2.75

The following is a PBEsol calculation of a geometry-optimized Rb3TiF6 structure, from Alexandria.

Formation energy from raw total energies, eV per atom: -3.013
Total DFT energy (no corrections), eV/atom: -5.309
Mass density, g/cm3: 3.7
V, A^3/atom: 18.98

Cell lengths 6.4503, 6.4503, 6.4503 Å; angles 60.00, 60.00, 60.00 degrees
Closest atoms and distances in Å follow each position.
Fractional coordinates of all 10 atoms:
F1 0.2157 0.7843 0.2157  1 Ti 1.97
F2 0.7843 0.2157 0.2157  1 Ti 1.97
F3 0.7843 0.7843 0.2157  1 Ti 1.97
Rb1 0.7500 0.7500 0.7500  12 F 3.24
Rb2 0.5000 0.5000 0.5000  6 F 2.59
Rb3 0.2500 0.2500 0.2500  12 F 3.24
F4 0.2157 0.2157 0.7843  1 Ti 1.97
F5 0.7843 0.2157 0.7843  1 Ti 1.97
Ti1 0.0000 0.0000 0.0000  6 F 1.97
F6 0.2157 0.7843 0.7843  1 Ti 1.97

- Among the records above, which one has the highest V?
  RbSi3F